Computed, not measured: an optimized crystal structure of TlZn2Ni at the PBE level of DFT.

The structure in POSCAR format:
```
TlZn2Ni
1.0
0.0000 3.2085 3.2085
3.2085 0.0000 3.2085
3.2085 3.2085 0.0000
Zn Ni Tl
2 1 1
direct
0.2500 0.2500 0.2500
0.7500 0.7500 0.7500
0.0000 0.0000 0.0000
0.5000 0.5000 0.5000
```

Calculated values
Energy of formation = 0.2852 eV/atom
Electronic total energy = -2.389 eV per atom
DOS(E_F) = 1.409 states/eV/cell
E above lowest polymorph = 227 meV/atom
Space group = Fm-3m, No. 225
Total moment = 0.000 μB/cell